! PBE+U TlMoP2O, optimized geometry; values from VASP
! energy relative to the lowest polymorph listed for this composition = 0.00 eV per formula unit
&SYSTEM
  ibrav = 0, nat = 5, ntyp = 4
/
ATOMIC_SPECIES
Tl 204.38 Tl.upf
Mo 95.94 Mo.upf
P 30.97 P.upf
O 16.00 O.upf
CELL_PARAMETERS angstrom
4.920 0.000 0.000
0.000 4.920 0.000
0.000 0.000 3.856
ATOMIC_POSITIONS angstrom
Tl 0.000 0.000 0.000
Mo 2.460 2.460 1.928
P 0.000 2.460 1.928
P 2.460 0.000 1.928
O 2.460 2.460 0.000